# 1
# SmMgAg4 | Alexandria | PBE | relaxed
# Space-group type   F-43m
# Total magnetization   0.0 μB per formula unit
# Offset from the most stable computed form   0 meV/atom
data_SmMgAg4
_cell_length_a 5.6291
_cell_length_b 5.6291
_cell_length_c 5.6291
_cell_angle_alpha 60.00
_cell_angle_beta 60.00
_cell_angle_gamma 60.00
_symmetry_space_group_name_H-M 'P 1'
_symmetry_Int_Tables_number 1
loop_
_symmetry_equiv_pos_as_xyz
'x,y,z'
loop_
_atom_site_label
_atom_site_fract_x
_atom_site_fract_y
_atom_site_fract_z
_atom_site_occupancy
Ag1 0.6256 0.6256 0.6256 1
Ag2 0.6256 0.6256 0.1231 1
Ag3 0.1231 0.6256 0.6256 1
Ag4 0.6256 0.1231 0.6256 1
Mg1 0.0000 0.0000 0.0000 1
Sm1 0.2500 0.2500 0.2500 1

---

# 2
# Sm2Mg3Ag4 | Alexandria | PBE | relaxed
# Space-group type   Cmce
# Total magnetization   0.0 μB per formula unit
# Offset from the most stable computed form   19 meV/atom
data_Sm2Mg3Ag4
_cell_length_a 6.0724
_cell_length_b 7.9657
_cell_length_c 8.9484
_cell_angle_alpha 90.00
_cell_angle_beta 109.83
_cell_angle_gamma 90.00
_symmetry_space_group_name_H-M 'P 1'
_symmetry_Int_Tables_number 1
loop_
_symmetry_equiv_pos_as_xyz
'x,y,z'
loop_
_atom_site_label
_atom_site_fract_x
_atom_site_fract_y
_atom_site_fract_z
_atom_site_occupancy
Sm1 0.3976 0.0959 0.7952 1
Sm2 0.1024 0.5959 0.2048 1
Sm3 0.8976 0.4041 0.7952 1
Sm4 0.6024 0.9041 0.2048 1
Ag1 0.8133 0.2500 0.1267 1
Ag2 0.1708 0.9742 0.3415 1
Ag3 0.1867 0.7500 0.8733 1
Ag4 0.6708 0.5258 0.3415 1
Ag5 0.6867 0.7500 0.8733 1
Ag6 0.3292 0.4742 0.6585 1
Ag7 0.8292 0.0258 0.6585 1
Ag8 0.3133 0.2500 0.1267 1
Mg1 0.0000 0.0000 0.0000 1
Mg2 0.5194 0.7500 0.5388 1
Mg3 0.9806 0.2500 0.4612 1
Mg4 0.5000 0.5000 0.0000 1
Mg5 0.4806 0.2500 0.4612 1
Mg6 0.0194 0.7500 0.5388 1

---

# 3
# Sm4Mg3Ag | Alexandria | PBE | relaxed
# Space-group type   P4/mmm
# Total magnetization   0.0 μB per formula unit
data_Sm4Mg3Ag
_cell_length_a 3.8232
_cell_length_b 3.8232
_cell_length_c 15.1296
_cell_angle_alpha 90.00
_cell_angle_beta 90.00
_cell_angle_gamma 90.00
_symmetry_space_group_name_H-M 'P 1'
_symmetry_Int_Tables_number 1
loop_
_symmetry_equiv_pos_as_xyz
'x,y,z'
loop_
_atom_site_label
_atom_site_fract_x
_atom_site_fract_y
_atom_site_fract_z
_atom_site_occupancy
Mg1 0.5000 0.5000 0.5000 1
Mg2 0.5000 0.5000 0.2474 1
Mg3 0.5000 0.5000 0.7526 1
Sm1 0.0000 0.0000 0.3718 1
Sm2 0.0000 0.0000 0.8813 1
Sm3 0.0000 0.0000 0.1187 1
Sm4 0.0000 0.0000 0.6282 1
Ag1 0.5000 0.5000 0.0000 1

---

# 4
# Sm6Mg5Ag | Alexandria | PBE | relaxed
# Space-group type   Cmmm
# Total magnetization   0.0 μB per formula unit
data_Sm6Mg5Ag
_cell_length_a 5.4058
_cell_length_b 7.6361
_cell_length_c 8.5533
_cell_angle_alpha 90.00
_cell_angle_beta 71.58
_cell_angle_gamma 90.00
_symmetry_space_group_name_H-M 'P 1'
_symmetry_Int_Tables_number 1
loop_
_symmetry_equiv_pos_as_xyz
'x,y,z'
loop_
_atom_site_label
_atom_site_fract_x
_atom_site_fract_y
_atom_site_fract_z
_atom_site_occupancy
Mg1 0.6682 0.5000 0.6636 1
Mg2 0.3270 0.0000 0.3461 1
Mg3 0.3318 0.5000 0.3364 1
Mg4 0.6730 0.0000 0.6539 1
Mg5 0.0000 0.5000 0.0000 1
Sm1 0.1639 0.7494 0.6721 1
Sm2 0.8361 0.7494 0.3279 1
Sm3 0.8361 0.2506 0.3279 1
Sm4 0.5000 0.7540 0.0000 1
Sm5 0.1639 0.2506 0.6721 1
Sm6 0.5000 0.2460 0.0000 1
Ag1 0.0000 0.0000 0.0000 1

---

# 5
# SmMgAg | Alexandria | PBE | relaxed
# Space-group type   P-62m
# Total magnetization   0.0 μB per formula unit
data_SmMgAg
_cell_length_a 4.3859
_cell_length_b 7.6391
_cell_length_c 7.6391
_cell_angle_alpha 120.00
_cell_angle_beta 90.00
_cell_angle_gamma 90.00
_symmetry_space_group_name_H-M 'P 1'
_symmetry_Int_Tables_number 1
loop_
_symmetry_equiv_pos_as_xyz
'x,y,z'
loop_
_atom_site_label
_atom_site_fract_x
_atom_site_fract_y
_atom_site_fract_z
_atom_site_occupancy
Sm1 0.5000 0.0000 0.5841 1
Sm2 0.5000 0.4159 0.4159 1
Sm3 0.5000 0.5841 0.0000 1
Mg1 0.0000 0.7596 0.7596 1
Mg2 0.0000 0.0000 0.2404 1
Mg3 0.0000 0.2404 0.0000 1
Ag1 0.0000 0.6667 0.3333 1
Ag2 0.0000 0.3333 0.6667 1
Ag3 0.5000 0.0000 0.0000 1

---

# 6
# SmMg3Ag2 | Alexandria | PBE | relaxed
# Space-group type   C2/m
# Total magnetization   0.0 μB per formula unit
data_SmMg3Ag2
_cell_length_a 4.5644
_cell_length_b 9.3018
_cell_length_c 8.1004
_cell_angle_alpha 122.36
_cell_angle_beta 90.00
_cell_angle_gamma 104.20
_symmetry_space_group_name_H-M 'P 1'
_symmetry_Int_Tables_number 1
loop_
_symmetry_equiv_pos_as_xyz
'x,y,z'
loop_
_atom_site_label
_atom_site_fract_x
_atom_site_fract_y
_atom_site_fract_z
_atom_site_occupancy
Mg1 0.9450 0.8900 0.5817 1
Mg2 0.3510 0.7020 0.1975 1
Mg3 0.0550 0.1100 0.4183 1
Mg4 0.6490 0.2980 0.8025 1
Mg5 0.6872 0.3743 0.4712 1
Mg6 0.3128 0.6257 0.5288 1
Sm1 0.1201 0.2401 0.0768 1
Sm2 0.8799 0.7599 0.9232 1
Ag1 0.2308 0.4615 0.7502 1
Ag2 0.7692 0.5385 0.2498 1
Ag3 0.5073 0.0146 0.1836 1
Ag4 0.4927 0.9854 0.8164 1

---

# 7
# SmMg2Ag2 | Alexandria | PBE | relaxed
# Space-group type   I4/mmm
# Total magnetization   0.0 μB per formula unit
# Offset from the most stable computed form   0 meV/atom
data_SmMg2Ag2
_cell_length_a 4.1976
_cell_length_b 4.1976
_cell_length_c 7.1833
_cell_angle_alpha 106.99
_cell_angle_beta 106.99
_cell_angle_gamma 90.00
_symmetry_space_group_name_H-M 'P 1'
_symmetry_Int_Tables_number 1
loop_
_symmetry_equiv_pos_as_xyz
'x,y,z'
loop_
_atom_site_label
_atom_site_fract_x
_atom_site_fract_y
_atom_site_fract_z
_atom_site_occupancy
Mg1 0.2500 0.7500 0.5000 1
Mg2 0.7500 0.2500 0.5000 1
Ag1 0.3943 0.3943 0.7887 1
Ag2 0.6057 0.6057 0.2113 1
Sm1 0.0000 0.0000 0.0000 1

---

# 8
# SmMg11Ag | Alexandria | PBE | relaxed
# Space-group type   C2/m
# Total magnetization   0.0 μB per formula unit
data_SmMg11Ag
_cell_length_a 5.7730
_cell_length_b 7.7129
_cell_length_c 7.7781
_cell_angle_alpha 82.37
_cell_angle_beta 68.22
_cell_angle_gamma 69.05
_symmetry_space_group_name_H-M 'P 1'
_symmetry_Int_Tables_number 1
loop_
_symmetry_equiv_pos_as_xyz
'x,y,z'
loop_
_atom_site_label
_atom_site_fract_x
_atom_site_fract_y
_atom_site_fract_z
_atom_site_occupancy
Mg1 0.6450 0.3557 0.3459 1
Mg2 0.7038 0.7848 0.7918 1
Mg3 0.5044 0.2152 0.7918 1
Mg4 0.9909 0.3557 0.6541 1
Mg5 0.0091 0.6443 0.3459 1
Mg6 0.3550 0.6443 0.6541 1
Mg7 0.5000 0.0000 0.5000 1
Mg8 0.0000 0.0000 0.5000 1
Mg9 0.4956 0.7848 0.2082 1
Mg10 0.0000 0.5000 0.0000 1
Mg11 0.2962 0.2152 0.2082 1
Ag1 0.5000 0.5000 0.0000 1
Sm1 0.0000 0.0000 0.0000 1

---

# 9
# Sm3Mg7Ag4 | Alexandria | PBE | relaxed
# Space-group type   C2/m
# Total magnetization   0.0 μB per formula unit
data_Sm3Mg7Ag4
_cell_length_a 4.5208
_cell_length_b 8.6511
_cell_length_c 9.3786
_cell_angle_alpha 71.36
_cell_angle_beta 76.05
_cell_angle_gamma 74.85
_symmetry_space_group_name_H-M 'P 1'
_symmetry_Int_Tables_number 1
loop_
_symmetry_equiv_pos_as_xyz
'x,y,z'
loop_
_atom_site_label
_atom_site_fract_x
_atom_site_fract_y
_atom_site_fract_z
_atom_site_occupancy
Mg1 0.3213 0.8412 0.5162 1
Mg2 0.8365 0.3966 0.9304 1
Mg3 0.4889 0.2190 0.8033 1
Mg4 0.1635 0.6034 0.0696 1
Mg5 0.5111 0.7810 0.1967 1
Mg6 0.6787 0.1588 0.4838 1
Mg7 0.0000 0.0000 0.0000 1
Sm1 0.0000 0.5000 0.5000 1
Sm2 0.6928 0.8168 0.7976 1
Sm3 0.3072 0.1832 0.2024 1
Ag1 0.6604 0.4420 0.2372 1
Ag2 0.1145 0.0990 0.6720 1
Ag3 0.8855 0.9010 0.3280 1
Ag4 0.3396 0.5580 0.7628 1

---

# 10
# Sm2Mg6Ag3 | Alexandria | PBE | relaxed
# Space-group type   P-62m
# Total magnetization   0.0 μB per formula unit
data_Sm2Mg6Ag3
_cell_length_a 3.8677
_cell_length_b 8.8903
_cell_length_c 8.8903
_cell_angle_alpha 120.00
_cell_angle_beta 90.00
_cell_angle_gamma 90.00
_symmetry_space_group_name_H-M 'P 1'
_symmetry_Int_Tables_number 1
loop_
_symmetry_equiv_pos_as_xyz
'x,y,z'
loop_
_atom_site_label
_atom_site_fract_x
_atom_site_fract_y
_atom_site_fract_z
_atom_site_occupancy
Sm1 0.0000 0.3333 0.6667 1
Sm2 0.0000 0.6667 0.3333 1
Mg1 0.0000 0.0000 0.8068 1
Mg2 0.5000 0.0000 0.3042 1
Mg3 0.0000 0.1932 0.1932 1
Mg4 0.5000 0.3042 0.0000 1
Mg5 0.5000 0.6958 0.6958 1
Mg6 0.0000 0.8068 0.0000 1
Ag1 0.5000 0.3976 0.3976 1
Ag2 0.5000 0.6024 0.0000 1
Ag3 0.5000 0.0000 0.6024 1

---

# 11
# Sm8Mg2Ag | Alexandria | PBE | relaxed
# Space-group type   C2/m
# Total magnetization   0.0 μB per formula unit
data_Sm8Mg2Ag
_cell_length_a 5.4329
_cell_length_b 7.1310
_cell_length_c 9.4997
_cell_angle_alpha 105.45
_cell_angle_beta 106.62
_cell_angle_gamma 90.00
_symmetry_space_group_name_H-M 'P 1'
_symmetry_Int_Tables_number 1
loop_
_symmetry_equiv_pos_as_xyz
'x,y,z'
loop_
_atom_site_label
_atom_site_fract_x
_atom_site_fract_y
_atom_site_fract_z
_atom_site_occupancy
Ag1 0.5000 0.0000 0.0000 1
Sm1 0.3418 0.0507 0.6836 1
Sm2 0.6582 0.9493 0.3164 1
Sm3 0.1935 0.2725 0.3871 1
Sm4 0.9790 0.2332 0.9579 1
Sm5 0.8065 0.7275 0.6129 1
Sm6 0.5941 0.4483 0.1883 1
Sm7 0.0210 0.7668 0.0421 1
Sm8 0.4059 0.5517 0.8117 1
Mg1 0.8106 0.2887 0.6213 1
Mg2 0.1894 0.7113 0.3787 1

---

Final energy: -18.905, -55.138, -27.644, -40.574, -29.865, -32.474, -14.638, -26.114, -39.500, -28.720, -43.732 (eV per cell)